1.
VASP calculation (GGA-PBE) on a geometry-optimized Sm2Tm4Th structure.

Structure (POSCAR):
```
Sm2Tm4Th
1.0
5.393 -6.138 0.000
5.393 6.138 0.000
0.000 0.000 3.466
Sm Tm Th
2 4 1
direct
0.000 0.500 0.000
0.500 0.000 0.000
0.168 0.168 0.000
0.191 0.809 0.500
0.809 0.191 0.500
0.832 0.832 0.000
0.500 0.500 0.500
```

Summary:
N(E_F): 11.1 states/eV per cell
Total magnetic moment: 0.00 μB/cell
Space-group type: Cmmm
ΔE to the lowest computed polymorph: 293 meV/atom
Formation enthalpy at 0 K: 0.3158 eV per atom

---

2.
VASP calculation (GGA-PBE) on a geometry-optimized SmTm2Th2 structure.

Structure (POSCAR):
```
SmTm2Th2
1.0
3.549 0.000 0.000
-1.774 3.073 0.000
0.000 0.000 14.546
Sm Tm Th
1 2 2
direct
0.000 0.000 0.000
0.333 0.667 0.801
0.667 0.333 0.199
0.333 0.667 0.400
0.667 0.333 0.600
```

Summary:
N(E_F): 6.5 states/eV per cell
Total magnetic moment: 0.00 μB/cell
Space-group type: P-3m1
ΔE to the lowest computed polymorph: 15 meV/atom
Formation enthalpy at 0 K: 0.0332 eV per atom

---

3.
VASP calculation (GGA-PBE) on a geometry-optimized SmTm7Th2 structure.

Structure (POSCAR):
```
SmTm7Th2
1.0
6.113 -5.694 0.000
6.113 5.694 0.000
-2.427 0.000 4.922
Sm Tm Th
1 7 2
direct
0.000 0.000 0.000
0.100 0.405 0.252
0.335 0.665 0.000
0.405 0.100 0.252
0.500 0.500 0.500
0.595 0.900 0.748
0.665 0.335 0.000
0.900 0.595 0.748
0.155 0.845 0.500
0.845 0.155 0.500
```

Summary:
N(E_F): 17.2 states/eV per cell
Total magnetic moment: 0.00 μB/cell
Space-group type: C2/m
Formation enthalpy at 0 K: 0.4365 eV per atom

---

4.
VASP calculation (GGA-PBE) on a geometry-optimized Sm2Tm7Th2 structure.

Structure (POSCAR):
```
Sm2Tm7Th2
1.0
5.638 -5.761 0.000
5.638 5.761 0.000
-2.424 0.000 5.443
Sm Tm Th
2 7 2
direct
0.094 0.094 0.309
0.906 0.906 0.691
0.091 0.563 0.328
0.266 0.266 0.919
0.437 0.909 0.672
0.500 0.500 0.500
0.563 0.091 0.328
0.734 0.734 0.081
0.909 0.437 0.672
0.294 0.706 0.000
0.706 0.294 0.000
```

Summary:
N(E_F): 17.0 states/eV per cell
Total magnetic moment: 0.00 μB/cell
Space-group type: C2/m
ΔE to the lowest computed polymorph: 0 meV/atom
Formation enthalpy at 0 K: 0.1800 eV per atom